# 1
Computed, not measured: HfNb3Ir after structural relaxation at the PBE level of DFT.

abc: 4.7916 4.7916 4.7916
angles: 90.00 90.00 90.00
Space group Pm-3m (No. 221)
One atom of each set of equivalent atoms:
Hf 0.0000 0.0000 0.0000
Nb 0.0000 0.0000 0.5000
Ir 0.5000 0.5000 0.5000

Output
- distance to the lowest polymorph of the same formula (meV/atom) = 1060.4
- DFT formation energy (eV/atom) = 1.879
- density of states at the Fermi level (states/eV/f.u.) = 9.63
- spin magnetization (Bohr magnetons per cell) = 0.0

***

# 2
Computed, not measured: HfNb2Ir2 after structural relaxation at the PBE level of DFT.

abc: 7.6206 7.6206 3.0643
angles: 90.00 90.00 90.00
Space group P4/mbm (No. 127)
One atom of each set of equivalent atoms:
Hf 0.0000 0.0000 0.0000
Nb 0.1692 0.3308 0.5000
Ir 0.1300 0.6300 0.0000

Output
- distance to the lowest polymorph of the same formula (meV/atom) = 0.0
- DFT formation energy (eV/atom) = -0.414
- density of states at the Fermi level (states/eV/f.u.) = 3.93
- spin magnetization (Bohr magnetons per cell) = 0.0

***

# 3
Computed, not measured: Hf4NbIr2 after structural relaxation at the PBE level of DFT.

abc: 4.8963 4.8963 13.3610
angles: 90.00 90.00 90.00
Space group I4/mmm (No. 139)
One atom of each set of equivalent atoms:
Hf 0.0000 0.0000 0.1985
Hf 0.0000 0.5000 0.0000
Nb 0.0000 0.0000 0.0000
Ir 0.0000 0.0000 0.3855

Output
- DFT formation energy (eV/atom) = 0.555
- density of states at the Fermi level (states/eV/f.u.) = 8.09
- spin magnetization (Bohr magnetons per cell) = 0.0